1.
A plane-wave DFT calculation with PBE was carried out for crystalline ThTiTe3 at its relaxed geometry.

a b c (Å): 11.6198 11.6198 7.2093
angles (deg): 107.35 107.35 19.72
Last column: nearest neighbours and their distance in Å.
Fractional coordinates of all 10 atoms:
Th  0.9182  0.9182  0.3923  7 Te 3.21-3.25
Th  0.0818  0.0818  0.6077  7 Te 3.21-3.25
Ti  0.2498  0.2498  0.6945  5 Te 2.77-2.90
Ti  0.7502  0.7502  0.3055  5 Te 2.77-2.90
Te  0.1665  0.1665  0.3238  3 Ti 2.77-2.79
Te  0.3135  0.3135  0.1454  3 Ti 2.90-3.13, 2 Th 3.21
Te  0.5082  0.5082  0.2589  4 Th 3.21-3.25
Te  0.6865  0.6865  0.8546  3 Ti 2.90-3.13, 2 Th 3.21
Te  0.4918  0.4918  0.7411  4 Th 3.21-3.25
Te  0.8335  0.8335  0.6762  3 Ti 2.77-2.79

## Properties
uncorrected formation energy = -0.9174 eV per atom
total DFT energy (no corrections) = -5.865 eV/atom
space group = C2/m
magnetization = 1.70 Bohr magnetons per cell
DOS(E_F) = 5.36 states/eV per cell

=====

2.
A plane-wave DFT calculation with PBE was carried out for crystalline Th2TiTe at its relaxed geometry.

a b c (Å): 3.8825 3.8825 9.4512
angles (deg): 78.15 78.15 60.00
Last column: nearest neighbours and their distance in Å.
Fractional coordinates of all 4 atoms:
Te  0.5000  0.5000  0.5000  6 Th 3.25
Th  0.2519  0.2519  0.2442  3 Ti 3.17, 3 Te 3.25
Th  0.7481  0.7481  0.7558  3 Ti 3.17, 3 Te 3.25
Ti  0.0000  0.0000  0.0000  6 Th 3.17

## Properties
uncorrected formation energy = -0.1421 eV per atom
total DFT energy (no corrections) = -6.611 eV/atom
space group = R-3m
magnetization = 2.26 Bohr magnetons per cell
DOS(E_F) = 2.77 states/eV per cell

=====

3.
A plane-wave DFT calculation with PBE was carried out for crystalline ThTi2Tl3Te6 at its relaxed geometry.

a b c (Å): 7.3285 7.3285 8.6323
angles (deg): 98.10 98.10 120.22
Last column: nearest neighbours and their distance in Å.
Fractional coordinates of all 12 atoms:
Th  0.0000  0.0000  0.0000  6 Te 3.09-3.14
Ti  0.3235  0.6765  0.0000  6 Te 2.86-2.93
Ti  0.6765  0.3235  0.0000  6 Te 2.86-2.93
Tl  0.1529  0.8471  0.5000  6 Te 3.41-3.51
Tl  0.8471  0.1529  0.5000  6 Te 3.41-3.51
Tl  0.5000  0.5000  0.5000  6 Te 3.38-3.48
Te  0.9278  0.5724  0.7894  2 Ti 2.86-2.92, 1 Th 3.14
Te  0.7015  0.7015  0.1926  2 Ti 2.93, 1 Th 3.09
Te  0.0722  0.4276  0.2106  2 Ti 2.86-2.92, 1 Th 3.14
Te  0.5724  0.9278  0.7894  2 Ti 2.86-2.92, 1 Th 3.14
Te  0.2985  0.2985  0.8074  2 Ti 2.93, 1 Th 3.09
Te  0.4276  0.0722  0.2106  2 Ti 2.86-2.92, 1 Th 3.14

## Properties
uncorrected formation energy = -0.6336 eV per atom
total DFT energy (no corrections) = -4.730 eV/atom
space group = C2/m
magnetization = 3.01 Bohr magnetons per cell
DOS(E_F) = 7.92 states/eV per cell

=====

4.
A plane-wave DFT calculation with PBE was carried out for crystalline ThTl7Te6 at its relaxed geometry.

a b c (Å): 9.4309 9.4309 8.8871
angles (deg): 57.95 57.95 60.00
Last column: nearest neighbours and their distance in Å.
Fractional coordinates of all 14 atoms:
Th  0.0004  0.0004  0.9987  6 Te 3.11-3.20
Tl  0.0056  0.2437  0.2884  4 Te 3.27-3.53
Tl  0.5185  0.0337  0.7072  4 Te 3.18-3.48, 1 Tl 3.46
Tl  0.7407  0.5185  0.7072  4 Te 3.18-3.48, 1 Tl 3.46
Tl  0.6475  0.6475  0.0575  3 Te 3.24, 3 Tl 3.46
Tl  0.2437  0.4623  0.2884  4 Te 3.27-3.53
Tl  0.4623  0.0056  0.2884  4 Te 3.27-3.53
Tl  0.0337  0.7407  0.7072  4 Te 3.18-3.48, 1 Tl 3.46
Te  0.7709  0.1429  0.7661  1 Th 3.11, 3 Tl 3.18-3.42
Te  0.6855  0.2323  0.2507  1 Th 3.20, 5 Tl 3.24-3.53
Te  0.8315  0.6855  0.2507  1 Th 3.20, 5 Tl 3.24-3.53
Te  0.1429  0.3201  0.7661  1 Th 3.11, 3 Tl 3.18-3.42
Te  0.3201  0.7709  0.7661  1 Th 3.11, 3 Tl 3.18-3.42
Te  0.2323  0.8315  0.2507  1 Th 3.20, 5 Tl 3.24-3.53

## Properties
uncorrected formation energy = -0.4479 eV per atom
total DFT energy (no corrections) = -3.507 eV/atom
space group = R3
magnetization = 0.00 Bohr magnetons per cell
DOS(E_F) = 7.18 states/eV per cell

=====

5.
A plane-wave DFT calculation with PBE was carried out for crystalline Th4TlTe4 at its relaxed geometry.

a b c (Å): 5.4653 8.6526 9.4054
angles (deg): 42.59 73.11 71.59
Last column: nearest neighbours and their distance in Å.
Fractional coordinates of all 9 atoms:
Th  0.3010  0.0948  0.3032  7 Te 3.27-3.32, 1 Tl 3.33
Th  0.6990  0.9052  0.6968  7 Te 3.27-3.32, 1 Tl 3.33
Th  0.9046  0.2984  0.8924  6 Te 3.28-3.42, 2 Tl 3.32
Th  0.0954  0.7016  0.1076  6 Te 3.28-3.42, 2 Tl 3.32
Tl  0.5000  0.0000  0.0000  6 Th 3.32-3.33
Te  0.7077  0.3971  0.1875  7 Th 3.28-3.42
Te  0.8949  0.8104  0.3997  6 Th 3.27-3.32
Te  0.2923  0.6029  0.8125  7 Th 3.28-3.42
Te  0.1051  0.1896  0.6003  6 Th 3.27-3.32

## Properties
uncorrected formation energy = -0.8346 eV per atom
total DFT energy (no corrections) = -5.792 eV/atom
space group = C2/m
magnetization = 0.00 Bohr magnetons per cell
DOS(E_F) = 8.68 states/eV per cell

=====

6.
A plane-wave DFT calculation with PBE was carried out for crystalline ThTlTe3 at its relaxed geometry.

a b c (Å): 4.6289 9.8818 10.4853
angles (deg): 120.99 90.00 103.55
Last column: nearest neighbours and their distance in Å.
Fractional coordinates of all 10 atoms:
Th  0.8292  0.6584  0.2295  7 Te 3.16-3.36
Th  0.1708  0.3416  0.7705  7 Te 3.16-3.36
Tl  0.6163  0.2326  0.2987  5 Te 3.25-3.46
Tl  0.3837  0.7674  0.7013  5 Te 3.25-3.46
Te  0.0279  0.0559  0.4008  1 Te 2.80
Te  0.9721  0.9441  0.5992  1 Te 2.80
Te  0.3547  0.7094  0.0515  3 Th 3.17-3.18
Te  0.6453  0.2906  0.9485  3 Th 3.17-3.18
Te  0.2606  0.5211  0.3381  2 Th 3.16, 3 Tl 3.25-3.46
Te  0.7394  0.4789  0.6619  2 Th 3.16, 3 Tl 3.25-3.46

## Properties
uncorrected formation energy = -0.7868 eV per atom
total DFT energy (no corrections) = -4.629 eV/atom
space group = C2/m
distance to the lowest polymorph of the same formula = 0.0 meV per atom
magnetization = 0.00 Bohr magnetons per cell
DOS(E_F) = 0.15 states/eV per cell

=====

7.
A plane-wave DFT calculation with PBE was carried out for crystalline Th2TlTe at its relaxed geometry.

a b c (Å): 3.7174 3.7174 8.4217
angles (deg): 90.00 90.00 90.00
Last column: nearest neighbours and their distance in Å.
Fractional coordinates of all 4 atoms:
Tl  0.5000  0.5000  0.5000  8 Th 3.42, 4 Tl 3.72
Te  0.5000  0.5000  0.0000  8 Th 3.31
Th  0.0000  0.0000  0.7606  4 Te 3.31, 4 Tl 3.42
Th  0.0000  0.0000  0.2394  4 Te 3.31, 4 Tl 3.42

## Properties
uncorrected formation energy = -0.5910 eV per atom
total DFT energy (no corrections) = -5.678 eV/atom
space group = P4/mmm
distance to the lowest polymorph of the same formula = 0.0 meV per atom
magnetization = 0.00 Bohr magnetons per cell
DOS(E_F) = 3.31 states/eV per cell

=====

8.
A plane-wave DFT calculation with PBE was carried out for crystalline Th3Tl2Te6 at its relaxed geometry.

a b c (Å): 7.5932 7.5920 8.9405
angles (deg): 81.88 73.58 59.99
Last column: nearest neighbours and their distance in Å.
Fractional coordinates of all 11 atoms:
Th  0.0000  0.0000  0.0000  6 Te 3.17-3.18
Th  0.3329  0.3342  0.0000  6 Te 3.17-3.18
Th  0.6671  0.6658  0.0000  6 Te 3.17-3.18
Tl  0.1668  0.6663  0.5000  6 Te 3.47
Tl  0.8332  0.3337  0.5000  6 Te 3.47
Te  0.4078  0.6678  0.7761  3 Th 3.17-3.18, 2 Tl 3.47
Te  0.7398  0.0000  0.7765  3 Th 3.17-3.18, 2 Tl 3.47
Te  0.0756  0.3322  0.7761  3 Th 3.17-3.18, 2 Tl 3.47
Te  0.2602  0.0000  0.2235  3 Th 3.17-3.18, 2 Tl 3.47
Te  0.5922  0.3322  0.2239  3 Th 3.17-3.18, 2 Tl 3.47
Te  0.9244  0.6678  0.2239  3 Th 3.17-3.18, 2 Tl 3.47

## Properties
uncorrected formation energy = -0.9319 eV per atom
total DFT energy (no corrections) = -5.099 eV/atom
space group = C2/m
magnetization = 0.00 Bohr magnetons per cell
DOS(E_F) = 7.81 states/eV per cell

=====

9.
A plane-wave DFT calculation with PBE was carried out for crystalline ThTlTe4 at its relaxed geometry.

a b c (Å): 6.9705 6.9705 8.7184
angles (deg): 90.00 90.00 90.00
Last column: nearest neighbours and their distance in Å.
Fractional coordinates of all 12 atoms:
Th  0.5000  0.5000  0.0000  8 Te 3.25
Th  0.0000  0.0000  0.0000  8 Te 3.25
Tl  0.5000  0.5000  0.5000  8 Te 3.63
Tl  0.0000  0.0000  0.5000  8 Te 3.63
Te  0.6509  0.8491  0.2160  1 Te 2.98, 2 Th 3.25
Te  0.1509  0.6509  0.2160  1 Te 2.98, 2 Th 3.25
Te  0.8491  0.3491  0.2160  1 Te 2.98, 2 Th 3.25
Te  0.6509  0.1509  0.7840  1 Te 2.98, 2 Th 3.25
Te  0.3491  0.8491  0.7840  1 Te 2.98, 2 Th 3.25
Te  0.3491  0.1509  0.2160  1 Te 2.98, 2 Th 3.25
Te  0.8491  0.6509  0.7840  1 Te 2.98, 2 Th 3.25
Te  0.1509  0.3491  0.7840  1 Te 2.98, 2 Th 3.25

## Properties
uncorrected formation energy = -0.6502 eV per atom
total DFT energy (no corrections) = -4.376 eV/atom
space group = P4/nbm
magnetization = 0.00 Bohr magnetons per cell
DOS(E_F) = 9.44 states/eV per cell

=====

10.
A plane-wave DFT calculation with PBE was carried out for crystalline Th2TlTe at its relaxed geometry.

a b c (Å): 5.4875 5.4875 5.4875
angles (deg): 60.00 60.00 60.00
Last column: nearest neighbours and their distance in Å.
Fractional coordinates of all 4 atoms:
Tl  0.0000  0.0000  0.0000  8 Th 3.36
Te  0.5000  0.5000  0.5000  8 Th 3.36
Th  0.2500  0.2500  0.2500  4 Tl 3.36, 4 Te 3.36
Th  0.7500  0.7500  0.7500  4 Tl 3.36, 4 Te 3.36

## Properties
uncorrected formation energy = -0.4811 eV per atom
total DFT energy (no corrections) = -5.568 eV/atom
space group = Fm-3m
distance to the lowest polymorph of the same formula = 110.0 meV per atom
magnetization = 0.00 Bohr magnetons per cell
DOS(E_F) = 4.42 states/eV per cell

=====

11.
A plane-wave DFT calculation with PBE was carried out for crystalline Th3Tl5Te8 at its relaxed geometry.

a b c (Å): 9.2460 9.2460 9.7056
angles (deg): 61.55 61.55 60.00
Last column: nearest neighbours and their distance in Å.
Fractional coordinates of all 16 atoms:
Th  0.5000  0.0000  0.5000  6 Te 3.16-3.21
Th  0.0000  0.0000  0.5000  6 Te 3.16-3.21
Th  0.0000  0.5000  0.5000  6 Te 3.16-3.21
Tl  0.5000  0.0000  0.0000  6 Te 3.51-3.56
Tl  0.5000  0.5000  0.0000  6 Te 3.51-3.56
Tl  0.0000  0.0000  0.0000  6 Te 3.38
Tl  0.0000  0.5000  0.0000  6 Te 3.51-3.56
Tl  0.5000  0.5000  0.5000  6 Te 3.35
Te  0.2499  0.2499  0.7213  2 Th 3.16, 2 Tl 3.35-3.38
Te  0.2499  0.7788  0.7213  2 Th 3.16, 2 Tl 3.35-3.38
Te  0.7788  0.2499  0.7213  2 Th 3.16, 2 Tl 3.35-3.38
Te  0.7602  0.7602  0.7195  3 Th 3.21, 3 Tl 3.51
Te  0.7501  0.7501  0.2787  2 Th 3.16, 2 Tl 3.35-3.38
Te  0.7501  0.2212  0.2787  2 Th 3.16, 2 Tl 3.35-3.38
Te  0.2212  0.7501  0.2787  2 Th 3.16, 2 Tl 3.35-3.38
Te  0.2398  0.2398  0.2805  3 Th 3.21, 3 Tl 3.51

## Properties
uncorrected formation energy = -0.7841 eV per atom
total DFT energy (no corrections) = -4.486 eV/atom
space group = R-3m
magnetization = 0.70 Bohr magnetons per cell
DOS(E_F) = 7.25 states/eV per cell

=====

12.
A plane-wave DFT calculation with PBE was carried out for crystalline ThTlTe2 at its relaxed geometry.

a b c (Å): 4.3221 4.3221 9.2598
angles (deg): 76.48 76.48 59.97
Last column: nearest neighbours and their distance in Å.
Fractional coordinates of all 4 atoms:
Th  0.6661  0.6661  0.0018  6 Te 3.18
Tl  0.5014  0.5014  0.4951  6 Te 3.48-3.56
Te  0.0733  0.0733  0.7805  3 Th 3.18, 1 Tl 3.56
Te  0.2592  0.2592  0.2226  3 Th 3.18, 3 Tl 3.48

## Properties
uncorrected formation energy = -0.8426 eV per atom
total DFT energy (no corrections) = -4.860 eV/atom
space group = R3m
magnetization = 0.00 Bohr magnetons per cell
DOS(E_F) = 2.66 states/eV per cell